1.
# Mn2TlTc, single point on PBEsol structure, DFT SCAN
# **Total moment**: 13.3 μB per cell
# **E_tot**: -35.6773 eV per atom
# **Formation energy from the elements**: 304.9 meV/atom
# **Crystal system**: tetragonal
data_Mn2TlTc
_chemical_formula_sum 'Mn4 Tl2 Tc2'
_space_group_name_H-M_alt 'I 4/m m m'
_space_group_IT_number 139
_space_group_name_Hall '-I 4 2'
_cell_length_a 3.9144
_cell_length_b 3.9144
_cell_length_c 7.5369
_cell_angle_alpha 90.00
_cell_angle_beta 90.00
_cell_angle_gamma 90.00
loop_
_atom_site_label
_atom_site_fract_x
_atom_site_fract_y
_atom_site_fract_z
_atom_site_occupancy
Mn1 0.0000 0.5000 0.2500 1
Tl1 0.0000 0.0000 0.0000 1
Tc1 0.0000 0.0000 0.5000 1

=====

2.
# NiSb2H12O6F8, single point on PBEsol structure, DFT SCAN
# **Total moment**: 3.8 μB per cell
# **E_tot**: -8.4024 eV per atom
# **Crystal system**: monoclinic
data_NiSb2H12O6F8
_chemical_formula_sum 'Ni2 Sb4 H24 O12 F16'
_space_group_name_H-M_alt 'P 1 21/c 1'
_space_group_IT_number 14
_space_group_name_Hall '-P 2ybc'
_cell_length_a 4.8457
_cell_length_b 18.0072
_cell_length_c 7.3295
_cell_angle_alpha 90.00
_cell_angle_beta 117.91
_cell_angle_gamma 90.00
loop_
_atom_site_label
_atom_site_fract_x
_atom_site_fract_y
_atom_site_fract_z
_atom_site_occupancy
Ni1 0.0000 0.0000 0.0000 1
Sb1 0.3494 0.2162 0.4757 1
H1 0.1588 0.5879 0.8068 1
H2 0.1895 0.1128 0.8419 1
H3 0.2708 0.6238 0.4714 1
H4 0.2921 0.5598 0.3293 1
H5 0.4294 0.0567 0.3333 1
H6 0.4588 0.0243 0.6887 1
O1 0.0489 0.0688 0.7964 1
O2 0.1486 0.5827 0.3783 1
O3 0.4499 0.0222 0.2322 1
F1 0.1958 0.7203 0.8564 1
F2 0.4137 0.1860 0.2343 1
F3 0.4352 0.1813 0.8706 1
F4 0.4605 0.0982 0.5375 1

=====

3.
# KTa2Ni, single point on PBEsol structure, DFT SCAN
# **Total moment**: 0.0 μB per cell
# **E_tot**: -37.6862 eV per atom
# **Formation energy from the elements**: 1731.0 meV/atom
# **Crystal system**: tetragonal
data_KTa2Ni
_chemical_formula_sum 'K1 Ta2 Ni1'
_space_group_name_H-M_alt 'P 4/m m m'
_space_group_IT_number 123
_space_group_name_Hall '-P 4 2'
_cell_length_a 4.7917
_cell_length_b 4.7917
_cell_length_c 2.9170
_cell_angle_alpha 90.00
_cell_angle_beta 90.00
_cell_angle_gamma 90.00
loop_
_atom_site_label
_atom_site_fract_x
_atom_site_fract_y
_atom_site_fract_z
_atom_site_occupancy
K1 0.0000 0.0000 0.0000 1
Ta1 0.0000 0.5000 0.5000 1
Ni1 0.5000 0.5000 0.0000 1

=====

- The highest E_tot belongs to which entry?
  NiSb2H12O6F8

=====

- Which formula does entry 2 have?
  NiSb2H12O6F8

=====

- Which value of total moment does entry 2 give?
  3.8 μB per cell

=====

- The highest total moment belongs to which entry?
  Mn2TlTc